# PmLuZnBi, optimized geometry, DFT PBE-GGA
# - spin magnetization (μB/cell) = 0.00
# - formation energy (eV/atom) = -0.368
data_PmLuZnBi
_cell_length_a 7.5185
_cell_length_b 7.5185
_cell_length_c 7.5185
_cell_angle_alpha 90.00
_cell_angle_beta 90.00
_cell_angle_gamma 90.00
_space_group_name_H-M_alt 'F -4 3 m'
_space_group_IT_number 216
_space_group_name_Hall 'F -4 2 3'
loop_
_atom_site_label
_atom_site_fract_x
_atom_site_fract_y
_atom_site_fract_z
Pm1 0.0000 0.0000 0.0000
Lu1 0.0000 0.0000 0.5000
Zn1 0.2500 0.2500 0.2500
Bi1 0.2500 0.2500 0.7500



# Zr2AgF11, optimized geometry, DFT PBE-GGA
# - spin magnetization (μB/cell) = 0.00
# - raw formation energy (eV per atom) = -2.83
data_Zr2AgF11
_cell_length_a 7.9709
_cell_length_b 10.4035
_cell_length_c 10.6332
_cell_angle_alpha 90.00
_cell_angle_beta 90.00
_cell_angle_gamma 90.00
_space_group_name_H-M_alt 'I b a m'
_space_group_IT_number 72
_space_group_name_Hall '-I 2 2c'
loop_
_atom_site_label
_atom_site_fract_x
_atom_site_fract_y
_atom_site_fract_z
Zr1 0.0752 0.1944 0.0000
Ag1 0.0000 0.5000 0.2500
F1 0.0000 0.0000 0.0000
F2 0.0121 0.3673 0.1195
F3 0.1697 0.1327 0.1578
F4 0.1881 0.2013 0.5000



# Cr3IrRh6, optimized geometry, DFT PBE-GGA
# - spin magnetization (μB/cell) = 0.09
# - formation energy (eV/atom) = -0.116
data_Cr3IrRh6
_cell_length_a 7.1461
_cell_length_b 4.2830
_cell_length_c 9.3424
_cell_angle_alpha 90.00
_cell_angle_beta 108.89
_cell_angle_gamma 90.00
_space_group_name_H-M_alt 'P 1 21/m 1'
_space_group_IT_number 11
_space_group_name_Hall '-P 2yb'
loop_
_atom_site_label
_atom_site_fract_x
_atom_site_fract_y
_atom_site_fract_z
Cr1 0.1043 0.2500 0.2330
Cr2 0.2948 0.2500 0.0341
Cr3 0.3007 0.7500 0.3665
Ir1 0.1011 0.7500 0.5669
Rh1 0.0948 0.2500 0.7358
Rh2 0.1027 0.7500 0.0691
Rh3 0.2959 0.7500 0.8683
Rh4 0.3032 0.2500 0.5315
Rh5 0.4911 0.2500 0.3297
Rh6 0.4947 0.7500 0.1614



# V2PtCl, optimized geometry, DFT PBE-GGA
# - spin magnetization (μB/cell) = 2.80
# - raw formation energy (eV per atom) = 0.17
data_V2PtCl
_cell_length_a 6.1686
_cell_length_b 6.1686
_cell_length_c 6.1686
_cell_angle_alpha 90.00
_cell_angle_beta 90.00
_cell_angle_gamma 90.00
_space_group_name_H-M_alt 'F m -3 m'
_space_group_IT_number 225
_space_group_name_Hall '-F 4 2 3'
loop_
_atom_site_label
_atom_site_fract_x
_atom_site_fract_y
_atom_site_fract_z
V1 0.2500 0.2500 0.2500
Pt1 0.0000 0.0000 0.0000
Cl1 0.0000 0.0000 0.5000



# La4Nd3Th2, optimized geometry, DFT PBE-GGA
# - spin magnetization (μB/cell) = 0.00
# - formation energy (eV/atom) = 0.150
data_La4Nd3Th2
_cell_length_a 11.4950
_cell_length_b 5.9633
_cell_length_c 9.4653
_cell_angle_alpha 90.00
_cell_angle_beta 102.26
_cell_angle_gamma 90.00
_space_group_name_H-M_alt 'C 1 2/m 1'
_space_group_IT_number 12
_space_group_name_Hall '-C 2y'
loop_
_atom_site_label
_atom_site_fract_x
_atom_site_fract_y
_atom_site_fract_z
La1 0.1762 0.0000 0.4573
La2 0.2411 0.5000 0.8666
Nd1 0.0000 0.5000 0.5000
Nd2 0.1017 0.5000 0.1766
Th1 0.0742 0.0000 0.7994



# Sm3TmTh3, optimized geometry, DFT PBE-GGA
# - spin magnetization (μB/cell) = 0.00
# - formation energy (eV/atom) = 0.058
data_Sm3TmTh3
_cell_length_a 9.5562
_cell_length_b 9.5562
_cell_length_c 5.8468
_cell_angle_alpha 90.00
_cell_angle_beta 90.00
_cell_angle_gamma 120.00
_space_group_name_H-M_alt 'P 63/m'
_space_group_IT_number 176
_space_group_name_Hall '-P 6c'
loop_
_atom_site_label
_atom_site_fract_x
_atom_site_fract_y
_atom_site_fract_z
Sm1 0.0451 0.8021 0.2500
Tm1 0.3333 0.6667 0.2500
Th1 0.1046 0.6150 0.7500



# Cd2TcHg, optimized geometry, DFT PBE-GGA
# - spin magnetization (μB/cell) = 2.38
# - formation energy (eV/atom) = 0.405
data_Cd2TcHg
_cell_length_a 2.9925
_cell_length_b 2.9925
_cell_length_c 30.7703
_cell_angle_alpha 90.00
_cell_angle_beta 90.00
_cell_angle_gamma 120.00
_space_group_name_H-M_alt 'R 3 m'
_space_group_IT_number 160
_space_group_name_Hall 'R 3 -2"'
loop_
_atom_site_label
_atom_site_fract_x
_atom_site_fract_y
_atom_site_fract_z
Cd1 0.0000 0.0000 0.0000
Cd2 0.0000 0.0000 0.2429
Tc1 0.0000 0.0000 0.7417
Hg1 0.0000 0.0000 0.4844



# CsSr2Ag2, optimized geometry, DFT PBE-GGA
# - spin magnetization (μB/cell) = 0.00
# - formation energy (eV/atom) = 0.016
data_CsSr2Ag2
_cell_length_a 5.9878
_cell_length_b 5.9878
_cell_length_c 13.2974
_cell_angle_alpha 90.00
_cell_angle_beta 90.00
_cell_angle_gamma 90.00
_space_group_name_H-M_alt 'I 4/m m m'
_space_group_IT_number 139
_space_group_name_Hall '-I 4 2'
loop_
_atom_site_label
_atom_site_fract_x
_atom_site_fract_y
_atom_site_fract_z
Cs1 0.0000 0.0000 0.0000
Sr1 0.0000 0.0000 0.3354
Ag1 0.0000 0.5000 0.2500



# Na2AcHoO4, optimized geometry, DFT PBE-GGA
# - spin magnetization (μB/cell) = 0.00
# - raw formation energy (eV per atom) = -2.63
data_Na2AcHoO4
_cell_length_a 6.0459
_cell_length_b 3.5914
_cell_length_c 6.3068
_cell_angle_alpha 90.00
_cell_angle_beta 111.00
_cell_angle_gamma 90.00
_space_group_name_H-M_alt 'P 1 2/m 1'
_space_group_IT_number 10
_space_group_name_Hall '-P 2y'
loop_
_atom_site_label
_atom_site_fract_x
_atom_site_fract_y
_atom_site_fract_z
Na1 0.0000 0.0000 0.0000
Na2 0.0000 0.5000 0.5000
Ac1 0.5000 0.0000 0.5000
Ho1 0.5000 0.5000 0.0000
O1 0.2842 0.5000 0.2340
O2 0.2875 0.0000 0.7770



# ScTc2W, optimized geometry, DFT PBE-GGA
# - spin magnetization (μB/cell) = 0.00
# - formation energy (eV/atom) = -0.209
data_ScTc2W
_cell_length_a 3.1608
_cell_length_b 3.1608
_cell_length_c 6.4727
_cell_angle_alpha 90.00
_cell_angle_beta 90.00
_cell_angle_gamma 90.00
_space_group_name_H-M_alt 'P 4/m m m'
_space_group_IT_number 123
_space_group_name_Hall '-P 4 2'
loop_
_atom_site_label
_atom_site_fract_x
_atom_site_fract_y
_atom_site_fract_z
Sc1 0.0000 0.0000 0.0000
Tc1 0.5000 0.5000 0.2673
W1 0.0000 0.0000 0.5000